This record from the Alexandria database describes a PBEsol-optimized structure of Hg2BiTeMo. The functional is SCAN. Values from VASP.

Quantum ESPRESSO input file:
```
&SYSTEM
  ibrav = 0, nat = 5, ntyp = 4
/
ATOMIC_SPECIES
Hg 200.59 Hg.upf
Bi 208.98 Bi.upf
Te 127.60 Te.upf
Mo 95.94 Mo.upf
CELL_PARAMETERS angstrom
5.414 0.000 0.000
0.000 5.414 0.000
0.000 0.000 5.985
ATOMIC_POSITIONS angstrom
Hg 0.000 2.707 0.000
Hg 2.707 0.000 0.000
Bi 0.000 0.000 2.992
Te 0.000 0.000 0.000
Mo 2.707 2.707 2.992
```

Output
- final energy (eV/f.u.) = -281.18
- SG = No. 123